! Te3SBr PBE relaxed; values from VASP
! Energy above the lowest structure with this stoichiometry in meV per atom: 989
! Formation energy without anion corrections in meV per atom: 1187
! D(E_F) in states/eV/cell: 7.33
! Theoretical density in Mg/m³: 4.7
&SYSTEM
  ibrav = 0, nat = 5, ntyp = 3
/
ATOMIC_SPECIES
Te 127.60 Te.upf
S 32.06 S.upf
Br 79.90 Br.upf
ATOMIC_POSITIONS crystal
Te 0.0000 0.0000 0.5000
Te 0.0000 0.5000 0.0000
Te 0.5000 0.0000 0.0000
S 0.5000 0.5000 0.5000
Br 0.0000 0.0000 0.0000
CELL_PARAMETERS angstrom
5.6063 0.0000 0.0000
0.0000 5.6063 0.0000
0.0000 0.0000 5.6063